A geometry-optimized AlVPb2O6 structure. Source: Alexandria, functional GGA+U.

a = 5.5746 Å, b = 5.5746 Å, c = 9.6558 Å
α = 73.22°, β = 73.22°, γ = 60.00°
Sites, in units of the cell vectors:
O 0.2844 0.7972 0.1212
O 0.6094 0.6094 0.6309
O 0.7156 0.2028 0.8788
O 0.2028 0.7156 0.8788
O 0.3906 0.8497 0.3691
O 0.6094 0.1503 0.6309
O 0.7972 0.7972 0.1212
O 0.2028 0.2028 0.8788
O 0.8497 0.3906 0.3691
O 0.1503 0.6094 0.6309
O 0.7972 0.2844 0.1212
O 0.3906 0.3906 0.3691
V 0.0000 0.0000 0.0000
V 0.5000 0.5000 0.5000
Pb 0.1262 0.1262 0.6213
Pb 0.7207 0.7207 0.8380
Pb 0.8738 0.8738 0.3787
Pb 0.2793 0.2793 0.1620
Al 0.4050 0.4050 0.7849
Al 0.5950 0.5950 0.2151

Computed properties:
Volume (Å³ per cell): 245.0

A geometry-optimized AlV2PbO8 structure. Source: Alexandria, functional GGA+U.

a = 5.5051 Å, b = 5.5051 Å, c = 6.7535 Å
α = 90.00°, β = 90.00°, γ = 120.00°
Site moments in Bohr magnetons follow the coordinates.
Sites, in units of the cell vectors:
O 0.6667 0.3333 0.0025  0.10
O 0.6848 0.8426 0.6698  0.13
O 0.3152 0.1574 0.3302  0.13
O 0.8426 0.1579 0.3302  0.13
O 0.1579 0.3152 0.6698  0.13
O 0.1574 0.8421 0.6698  0.13
O 0.3333 0.6667 0.9975  0.10
O 0.8421 0.6848 0.3302  0.13
Pb 0.0000 0.0000 0.0000  0.00
Al 0.0000 0.0000 0.5000  0.00
V 0.3333 0.6667 0.7480  -0.09
V 0.6667 0.3333 0.2520  -0.09

Computed properties:
Volume (Å³ per cell): 177.3

A geometry-optimized AlV2Pb3O9 structure. Source: Alexandria, functional GGA+U.

a = 5.5046 Å, b = 5.5046 Å, c = 6.7580 Å
α = 90.00°, β = 90.00°, γ = 120.00°
Site moments in Bohr magnetons follow the coordinates.
Sites, in units of the cell vectors:
O 0.3338 0.1669 0.6666  -0.04
O 0.1669 0.3338 0.3334  -0.04
O 0.0000 0.5000 0.0000  -0.06
O 0.5000 0.5000 0.0000  -0.06
O 0.8331 0.1669 0.6666  -0.04
O 0.8331 0.6662 0.6666  -0.04
O 0.5000 0.0000 0.0000  -0.06
O 0.1669 0.8331 0.3334  -0.04
O 0.6662 0.8331 0.3334  -0.04
Pb 0.3333 0.6667 0.6620  -0.01
Pb 0.6667 0.3333 0.3380  -0.01
Pb 0.0000 0.0000 0.0000  -0.01
V 0.6667 0.3333 0.8275  0.71
V 0.3333 0.6667 0.1725  0.71
Al 0.0000 0.0000 0.5000  0.00

Computed properties:
Volume (Å³ per cell): 177.3

A geometry-optimized Al2VPbO6 structure. Source: Alexandria, functional GGA+U.

a = 6.1965 Å, b = 7.1083 Å, c = 7.1083 Å
α = 104.10°, β = 74.75°, γ = 74.75°
Site moments in Bohr magnetons follow the coordinates.
Sites, in units of the cell vectors:
O 0.7055 0.7728 0.9519  -0.01
O 0.2055 0.9519 0.7728  -0.01
O 0.0364 0.6329 0.1868  -0.03
O 0.9636 0.3671 0.8132  -0.03
O 0.2945 0.2272 0.0481  -0.01
O 0.4530 0.4255 0.3370  0.00
O 0.0470 0.6630 0.5745  0.00
O 0.5364 0.1868 0.6329  -0.03
O 0.4636 0.8132 0.3671  -0.03
O 0.9530 0.3370 0.4255  0.00
O 0.7945 0.0481 0.2272  -0.01
O 0.5470 0.5745 0.6630  0.00
Al 0.6649 0.3019 0.4444  0.00
Al 0.3351 0.6981 0.5556  0.00
Al 0.1649 0.4444 0.3019  0.00
Al 0.8351 0.5556 0.6981  0.00
V 0.2500 0.2074 0.7926  1.02
V 0.7500 0.7926 0.2074  1.02
Pb 0.7500 0.0978 0.9022  0.01
Pb 0.2500 0.9022 0.0978  0.01

Computed properties:
Volume (Å³ per cell): 274.5

| no. | electronic total energy (Ry/atom) |
| --- | --- |
| 1 | -0.4856 |
| 2 | -0.5152 |
| 3 | -0.4913 |
| 4 | -0.5229 |